1.
First-principles (GGA-PBE) data for a relaxed structure of Pm3Zn2SnPt9, as listed in the Alexandria database.

abc: 5.6322 5.6322 12.1512
angles: 90.00 90.00 120.00
Space group P-3m1 (No. 164)
Asymmetric unit:
Pm1 0.0000 0.0000 0.0000 [1 per cell]
Pm2 0.3333 0.6667 0.7680 [2 per cell]
Zn1 0.3333 0.6667 0.1626 [2 per cell]
Sn1 0.0000 0.0000 0.5000 [1 per cell]
Pt1 0.0000 0.5000 0.0000 [3 per cell]
Pt2 0.1685 0.3371 0.3260 [6 per cell]

Properties
DFT total energy   -5.700 eV per atom
Density of states at the Fermi level   5.5 states/eV/f.u.
E_form   -997 kJ/mol of formula units

2.
First-principles (GGA-PBE) data for a relaxed structure of PmZn2SnPt, as listed in the Alexandria database.

abc: 4.1676 4.2418 11.7595
angles: 90.00 90.00 90.00
Space group Imm2 (No. 44)
Asymmetric unit:
Pm1 0.0000 0.0000 0.0000 [2 per cell]
Zn1 0.0000 0.0000 0.3901 [2 per cell]
Zn2 0.0000 0.5000 0.2467 [2 per cell]
Sn1 0.0000 0.5000 0.7452 [2 per cell]
Pt1 0.0000 0.0000 0.6010 [2 per cell]

Properties
DFT total energy   -4.066 eV per atom
Density of states at the Fermi level   2.5 states/eV/f.u.
E_form   -288 kJ/mol of formula units

3.
First-principles (GGA-PBE) data for a relaxed structure of Pm2ZnSn4Pt3, as listed in the Alexandria database.

abc: 4.4708 4.4708 11.2855
angles: 90.00 90.00 90.00
Space group P-4m2 (No. 115)
Asymmetric unit:
Pm1 0.0000 0.5000 0.2387 [2 per cell]
Zn1 0.5000 0.5000 0.0000 [1 per cell]
Sn1 0.0000 0.0000 0.5000 [1 per cell]
Sn2 0.0000 0.5000 0.8650 [2 per cell]
Sn3 0.5000 0.5000 0.5000 [1 per cell]
Pt1 0.0000 0.0000 0.0000 [1 per cell]
Pt2 0.0000 0.5000 0.6341 [2 per cell]

Properties
DFT total energy   -5.233 eV per atom
Density of states at the Fermi level   4.2 states/eV/f.u.
E_form   -716 kJ/mol of formula units

4.
First-principles (GGA-PBE) data for a relaxed structure of Pm2Zn3SnPt4, as listed in the Alexandria database.

abc: 4.2702 4.2702 10.8851
angles: 90.00 90.00 90.00
Space group P-4m2 (No. 115)
Asymmetric unit:
Pm1 0.0000 0.5000 0.2369 [2 per cell]
Zn1 0.0000 0.5000 0.8722 [2 per cell]
Zn2 0.5000 0.5000 0.5000 [1 per cell]
Sn1 0.0000 0.0000 0.5000 [1 per cell]
Pt1 0.0000 0.0000 0.0000 [1 per cell]
Pt2 0.0000 0.5000 0.6458 [2 per cell]
Pt3 0.5000 0.5000 0.0000 [1 per cell]

Properties
DFT total energy   -4.920 eV per atom
Density of states at the Fermi level   5.8 states/eV/f.u.
E_form   -744 kJ/mol of formula units

5.
First-principles (GGA-PBE) data for a relaxed structure of SrPm3Pt8, as listed in the Alexandria database.

abc: 5.5261 5.5261 9.0457
angles: 90.00 90.00 120.00
Space group P3m1 (No. 156)
Asymmetric unit:
Sr1 0.0000 0.0000 0.0000 [1 per cell]
Pm1 0.0000 0.0000 0.3669 [1 per cell]
Pm2 0.6667 0.3333 0.5043 [1 per cell]
Pm3 0.6667 0.3333 0.8747 [1 per cell]
Pt1 0.1649 0.3298 0.6837 [3 per cell]
Pt2 0.3333 0.6667 0.4369 [1 per cell]
Pt3 0.3333 0.6667 0.9372 [1 per cell]
Pt4 0.5022 0.0043 0.1906 [3 per cell]

Properties
DFT total energy   -6.316 eV per atom
Density of states at the Fermi level   8.2 states/eV/f.u.
E_form   -1113 kJ/mol of formula units

6.
First-principles (GGA-PBE) data for a relaxed structure of SrPm2Pt, as listed in the Alexandria database.

abc: 4.1608 12.8183 9.5790
angles: 90.00 90.00 90.00
Space group Cmcm (No. 63)
Asymmetric unit:
Sr1 0.0000 0.0672 0.2500 [4 per cell]
Pm1 0.0000 0.3521 0.0623 [8 per cell]
Pt1 0.0000 0.2291 0.7500 [4 per cell]

Properties
Polymorph energy (0 for the lowest one)   0.000 eV per atom
DFT total energy   -4.841 eV per atom
Density of states at the Fermi level   4.8 states/eV/f.u.
E_form   -207 kJ/mol of formula units